Entry 1:
RbCrTeO4 | PBE+U | optimized geometry

a = 5.9799 Å, b = 5.7497 Å, c = 7.6186 Å
α = 90.00°, β = 104.42°, γ = 90.00°
Sites, in units of the cell vectors:
Rb  0.0919  0.2500  0.1513
Rb  0.9081  0.7500  0.8487
Cr  0.1817  0.7500  0.4626
Cr  0.8183  0.2500  0.5374
Te  0.4064  0.2500  0.7130
Te  0.5936  0.7500  0.2870
O  0.1734  0.0042  0.6455
O  0.1734  0.4958  0.6455
O  0.2076  0.7500  0.2231
O  0.4722  0.2500  0.4790
O  0.5278  0.7500  0.5210
O  0.7924  0.2500  0.7769
O  0.8266  0.5042  0.3545
O  0.8266  0.9958  0.3545

Results
Its space group is P2_1/m, No. 11. The value obtained for the uncorrected energy is -0.429 Ry/atom.


Entry 2:
BaInCo2F8 | PBE+U | optimized geometry

a = 4.2405 Å, b = 5.3787 Å, c = 8.4777 Å
α = 84.04°, β = 89.69°, γ = 81.75°
Sites, in units of the cell vectors:
Ba  0.0000  0.0000  0.0000
In  0.0000  0.0000  0.5000
Co  0.4490  0.4520  0.6938
Co  0.5510  0.5480  0.3062
F  0.0799  0.7109  0.3044
F  0.1414  0.7510  0.7425
F  0.4322  0.2660  0.4916
F  0.4447  0.2685  0.9079
F  0.5553  0.7315  0.0921
F  0.5678  0.7340  0.5084
F  0.8586  0.2490  0.2575
F  0.9201  0.2891  0.6956

Results
Its space group is P-1, No. 2. The value obtained for the uncorrected energy is -0.365 Ry/atom.